Entry from the Open Quantum Materials Database: a relaxed structure of Re5W24 (PBE).

Calculated volume in Å³/cell: 475
ΔE_f in eV per formula unit: 9.84
Magnetization in μB/f.u.: 0.0

Unit cell a=8.5115 b=8.5115 c=8.5115 alpha=109.47 beta=109.47 gamma=109.47
With the nearest neighbours (Å) after each atom.
Fractional coordinates of all 29 atoms:
1 Re 0.0000 0.0000 0.0000  4 Re 3.07, 12 W 3.08
2 Re 0.0000 0.0000 0.6390  9 W 2.71-3.01
3 Re 0.0000 0.6390 0.0000  9 W 2.71-3.01
4 Re 0.3610 0.3610 0.3610  9 W 2.71-3.01
5 Re 0.6390 0.0000 0.0000  9 W 2.71-3.01
6 W 0.0000 0.1905 0.3783  8 W 2.61-2.84
7 W 0.0000 0.3783 0.1905  8 W 2.61-2.84
8 W 0.0000 0.4113 0.6897  11 W 2.69-3.00, 1 Re 2.71
9 W 0.0000 0.6897 0.4113  11 W 2.69-3.00, 1 Re 2.71
10 W 0.1878 0.8095 0.8095  8 W 2.61-2.84
11 W 0.1905 0.0000 0.3783  8 W 2.61-2.84
12 W 0.1905 0.3783 0.0000  8 W 2.61-2.84
13 W 0.2784 0.5887 0.5887  11 W 2.69-3.00, 1 Re 2.71
14 W 0.3103 0.3103 0.7216  11 W 2.69-3.00, 1 Re 2.71
15 W 0.3103 0.7216 0.3103  11 W 2.69-3.00, 1 Re 2.71
16 W 0.3783 0.0000 0.1905  8 W 2.61-2.84
17 W 0.3783 0.1905 0.0000  8 W 2.61-2.84
18 W 0.4113 0.0000 0.6897  11 W 2.69-3.00, 1 Re 2.71
19 W 0.4113 0.6897 0.0000  11 W 2.69-3.00, 1 Re 2.71
20 W 0.5887 0.2784 0.5887  11 W 2.69-3.00, 1 Re 2.71
21 W 0.5887 0.5887 0.2784  11 W 2.69-3.00, 1 Re 2.71
22 W 0.6217 0.6217 0.8122  8 W 2.61-2.84
23 W 0.6217 0.8122 0.6217  8 W 2.61-2.84
24 W 0.6897 0.0000 0.4113  11 W 2.69-3.00, 1 Re 2.71
25 W 0.6897 0.4113 0.0000  11 W 2.69-3.00, 1 Re 2.71
26 W 0.7216 0.3103 0.3103  11 W 2.69-3.00, 1 Re 2.71
27 W 0.8095 0.1878 0.8095  8 W 2.61-2.84
28 W 0.8095 0.8095 0.1878  8 W 2.61-2.84
29 W 0.8122 0.6217 0.6217  8 W 2.61-2.84

Entry from the Open Quantum Materials Database: a relaxed structure of Re2W3 (PBE).

Calculated volume in Å³/cell: 477
ΔE_f in eV per formula unit: 0.90
Magnetization in μB/f.u.: 0.0
ΔE to the lowest computed polymorph in meV/atom: 100.0

Unit cell a=9.6646 b=9.6646 c=5.1064 alpha=90.00 beta=90.00 gamma=90.00
With the nearest neighbours (Å) after each atom.
Fractional coordinates of all 30 atoms:
1 Re 0.0954 0.0954 0.0000  1 Re 2.61, 4 W 2.66-2.87
2 Re 0.1847 0.8153 0.2478  2 Re 2.53-2.58, 5 W 2.78-2.83
3 Re 0.1847 0.8153 0.7522  2 Re 2.53-2.58, 5 W 2.78-2.83
4 Re 0.3153 0.3153 0.2522  2 Re 2.53-2.58, 5 W 2.78-2.83
5 Re 0.3153 0.3153 0.7478  2 Re 2.53-2.58, 5 W 2.78-2.83
6 Re 0.4046 0.5954 0.5000  1 Re 2.61, 4 W 2.66-2.87
7 Re 0.5954 0.4046 0.5000  1 Re 2.61, 4 W 2.66-2.87
8 Re 0.6847 0.6847 0.2522  2 Re 2.53-2.58, 5 W 2.78-2.83
9 Re 0.6847 0.6847 0.7478  2 Re 2.53-2.58, 5 W 2.78-2.83
10 Re 0.8153 0.1847 0.2478  2 Re 2.53-2.58, 5 W 2.78-2.83
11 Re 0.8153 0.1847 0.7522  2 Re 2.53-2.58, 5 W 2.78-2.83
12 Re 0.9046 0.9046 0.0000  1 Re 2.61, 4 W 2.66-2.87
13 W 0.0000 0.0000 0.5000  4 W 2.60, 8 Re 2.83-2.87
14 W 0.0382 0.3643 0.0000  1 Re 2.66, 5 W 2.73-2.77
15 W 0.0651 0.2610 0.5000  6 W 2.60-2.77, 4 Re 2.78-2.83
16 W 0.1357 0.5382 0.5000  1 Re 2.66, 5 W 2.73-2.77
17 W 0.2390 0.5651 0.0000  6 W 2.60-2.77, 4 Re 2.78-2.83
18 W 0.2610 0.0651 0.5000  6 W 2.60-2.77, 4 Re 2.78-2.83
19 W 0.3643 0.0382 0.0000  1 Re 2.66, 5 W 2.73-2.77
20 W 0.4349 0.7610 0.0000  6 W 2.60-2.77, 4 Re 2.78-2.83
21 W 0.4618 0.8643 0.5000  1 Re 2.66, 5 W 2.73-2.77
22 W 0.5000 0.5000 0.0000  4 W 2.60, 8 Re 2.83-2.87
23 W 0.5382 0.1357 0.5000  1 Re 2.66, 5 W 2.73-2.77
24 W 0.5651 0.2390 0.0000  6 W 2.60-2.77, 4 Re 2.78-2.83
25 W 0.6357 0.9618 0.0000  1 Re 2.66, 5 W 2.73-2.77
26 W 0.7390 0.9349 0.5000  6 W 2.60-2.77, 4 Re 2.78-2.83
27 W 0.7610 0.4349 0.0000  6 W 2.60-2.77, 4 Re 2.78-2.83
28 W 0.8643 0.4618 0.5000  1 Re 2.66, 5 W 2.73-2.77
29 W 0.9349 0.7390 0.5000  6 W 2.60-2.77, 4 Re 2.78-2.83
30 W 0.9618 0.6357 0.0000  1 Re 2.66, 5 W 2.73-2.77

Entry from the Open Quantum Materials Database: a relaxed structure of Re8W5 (PBE).

Calculated volume in Å³/cell: 206
ΔE_f in eV per formula unit: 2.71
Magnetization in μB/f.u.: 0.0
ΔE to the lowest computed polymorph in meV/atom: 64.4

Unit cell a=9.5881 b=9.5881 c=9.5881 alpha=30.86 beta=30.86 gamma=30.86
With the nearest neighbours (Å) after each atom.
Fractional coordinates of all 13 atoms:
1 Re 0.0895 0.0895 0.5829  6 Re 2.52-2.81, 3 W 2.64-2.78
2 Re 0.0895 0.5829 0.0895  6 Re 2.52-2.81, 3 W 2.64-2.78
3 Re 0.1664 0.1664 0.1664  9 Re 2.80-2.95
4 Re 0.4171 0.9105 0.9105  6 Re 2.52-2.81, 3 W 2.64-2.78
5 Re 0.5829 0.0895 0.0895  6 Re 2.52-2.81, 3 W 2.64-2.78
6 Re 0.8336 0.8336 0.8336  9 Re 2.80-2.95
7 Re 0.9105 0.4171 0.9105  6 Re 2.52-2.81, 3 W 2.64-2.78
8 Re 0.9105 0.9105 0.4171  6 Re 2.52-2.81, 3 W 2.64-2.78
9 W 0.0000 0.0000 0.0000  6 Re 2.64
10 W 0.3484 0.3484 0.3484  7 W 2.86-3.06, 9 Re 2.96-3.10
11 W 0.4529 0.4529 0.4529  2 W 2.58-2.86, 6 Re 2.78
12 W 0.5471 0.5471 0.5471  2 W 2.58-2.86, 6 Re 2.78
13 W 0.6516 0.6516 0.6516  7 W 2.86-3.06, 9 Re 2.96-3.10

Entry from the Open Quantum Materials Database: a relaxed structure of Re2W (PBE).

Calculated volume in Å³/cell: 191
ΔE_f in eV per formula unit: 1.13
Magnetization in μB/f.u.: 0.0
ΔE to the lowest computed polymorph in meV/atom: 298.4

Unit cell a=5.1293 b=5.1293 c=8.3583 alpha=90.00 beta=90.00 gamma=119.85
With the nearest neighbours (Å) after each atom.
Fractional coordinates of all 12 atoms:
1 Re 0.0000 0.0000 0.0000  4 W 2.58, 2 Re 2.58
2 Re 0.0000 0.0000 0.5000  4 W 2.58, 2 Re 2.58
3 Re 0.1710 0.8290 0.7500  4 W 2.50-2.63, 2 Re 2.58
4 Re 0.3329 0.6671 0.0643  6 W 2.99-3.01, 10 Re 2.99-3.16
5 Re 0.3329 0.6671 0.4357  6 W 2.99-3.01, 10 Re 2.99-3.16
6 Re 0.6671 0.3329 0.5643  6 W 2.99-3.01, 10 Re 2.99-3.16
7 Re 0.6671 0.3329 0.9357  6 W 2.99-3.01, 10 Re 2.99-3.16
8 Re 0.8290 0.1710 0.2500  4 W 2.50-2.63, 2 Re 2.58
9 W 0.1688 0.3407 0.7500  4 Re 2.50-2.63, 2 W 2.52-2.62
10 W 0.3407 0.1688 0.2500  4 Re 2.50-2.63, 2 W 2.52-2.62
11 W 0.6593 0.8312 0.7500  4 Re 2.50-2.63, 2 W 2.52-2.62
12 W 0.8312 0.6593 0.2500  4 Re 2.50-2.63, 2 W 2.52-2.62